Record 1
Computed, not measured: crystalline Ac3MgGa2Pd9 at its relaxed geometry at the PBE-GGA level of DFT.

Properties
Formation enthalpy at 0 K = -633 meV per atom
N(E_F) = 0.168 states/eV per atom

POSCAR file:
```
Ac3MgGa2Pd9
1.0
-2.3986 5.5007 -0.2940
-2.7257 -4.6148 -2.7150
-5.6951 -1.9965 9.1111
Ga Pd Mg Ac
2 9 1 3
Cartesian
-3.5439 -1.5680 -0.4246
-7.2755 0.4574 6.5267
-2.5622 0.4429 -1.5045
-4.4467 -3.6444 0.5015
-5.1065 -0.3701 5.7558
-6.3728 2.5338 5.6006
-1.1993 2.7503 -0.1470
-5.7129 -0.7405 0.3463
-3.0077 -1.2081 1.9348
-1.3629 -2.3074 -1.3575
-7.8117 0.0975 4.1673
-2.8476 -0.9982 4.5555
0.0000 0.0000 0.0000
-4.3240 1.4921 1.8049
-6.4954 -2.6027 4.2972
```


Record 2
Computed, not measured: crystalline Mn2OsN at its relaxed geometry at the PBE-GGA level of DFT.

Properties
Formation energy without anion corrections = 0.371 eV per atom
N(E_F) = 0.858 states/eV per atom

POSCAR file:
```
Mn2OsN
1.0
-0.1752 -2.8480 3.8522
4.2002 1.7627 1.4942
-0.1768 2.7161 4.9829
Mn N Os
4 2 2
Cartesian
1.7299 1.7783 5.8677
3.0361 0.9392 8.2897
2.5443 1.1853 2.9850
0.3861 -0.6412 3.5163
3.0179 1.9681 4.5752
2.0125 -0.5427 2.6732
0.0000 0.0000 0.0000
0.8303 -0.3373 5.7542
```


Record 3
Computed, not measured: crystalline NaLiSnPt at its relaxed geometry at the PBE-GGA level of DFT.

Properties
Formation enthalpy at 0 K = -374 meV per atom
Energy above the lowest structure with this stoichiometry = 54 meV per atom
N(E_F) = 0.656 states/eV per atom

POSCAR file:
```
NaLiSnPt
1.0
-0.9649 -0.8401 4.2210
2.7092 -2.4945 2.4272
3.3104 3.3169 3.7213
Sn Li Na Pt
1 1 1 1
Cartesian
3.1471 3.0519 3.6312
1.2151 -0.0833 2.5656
3.2351 -0.9155 7.4704
1.4461 -1.7636 4.5883
```


Record 4
Computed, not measured: crystalline BaLaMg6 at its relaxed geometry at the PBE-GGA level of DFT.

Properties
Formation enthalpy at 0 K = -20 meV per atom
Energy above the lowest structure with this stoichiometry = 0 meV per atom
N(E_F) = 1.178 states/eV per atom

POSCAR file:
```
BaLaMg6
1.0
-2.2277 -2.9150 -6.0483
-0.1461 -4.1323 5.7398
-4.9741 1.6297 1.0467
Mg La Ba
6 1 1
Cartesian
-0.9912 -3.6381 0.9541
-2.8019 -3.2188 5.3079
-2.8132 -1.3402 2.3290
-2.2200 -5.3677 -2.1929
-0.8422 -1.2772 -2.0138
-3.8668 -4.4681 2.1921
-2.0258 -3.0331 -4.9051
-3.8832 -2.5865 -0.8158
```